La2MgCl: relaxed, GGA-PBE.

Computed properties:
- N(E_F): 7.59 states/eV/cell
- Uncorrected formation energy: -53.4 kJ/mol of atoms
- Energy above the lowest structure with this stoichiometry: 174 meV per atom
- Total DFT energy (no corrections): -15.51 eV per formula unit

Structure (CIF):
```
data_La2MgCl
_chemical_formula_sum 'La4 Mg2 Cl2'
_cell_length_a 3.812
_cell_length_b 6.137
_cell_length_c 10.322
_cell_angle_alpha 90.00
_cell_angle_beta 90.00
_cell_angle_gamma 90.00
_space_group_name_H-M_alt 'C m m 2'
_space_group_IT_number 35
_space_group_name_Hall 'C 2 -2'
loop_
_atom_site_label
_atom_site_type_symbol
_atom_site_fract_x
_atom_site_fract_y
_atom_site_fract_z
La1 La 0.000 0.000 0.000
La2 La 0.000 0.500 0.291
Mg1 Mg 0.000 0.500 0.729
Cl1 Cl 0.000 0.000 0.520
```

***

LaMg2Cl: relaxed, GGA-PBE.

Computed properties:
- N(E_F): 22.35 states/eV/cell
- Uncorrected formation energy: -37.0 kJ/mol of atoms
- Energy above the lowest structure with this stoichiometry: 226 meV per atom
- Total DFT energy (no corrections): -11.50 eV per formula unit

Structure (CIF):
```
data_LaMg2Cl
_chemical_formula_sum 'La4 Mg8 Cl4'
_cell_length_a 7.484
_cell_length_b 7.484
_cell_length_c 7.484
_cell_angle_alpha 90.00
_cell_angle_beta 90.00
_cell_angle_gamma 90.00
_space_group_name_H-M_alt 'F -4 3 m'
_space_group_IT_number 216
_space_group_name_Hall 'F -4 2 3'
loop_
_atom_site_label
_atom_site_type_symbol
_atom_site_fract_x
_atom_site_fract_y
_atom_site_fract_z
La1 La 0.000 0.000 0.000
Mg1 Mg 0.000 0.000 0.500
Mg2 Mg 0.250 0.250 0.250
Cl1 Cl 0.250 0.250 0.750
```

***

La2MgCl: relaxed, GGA-PBE.

Computed properties:
- N(E_F): 3.84 states/eV/cell
- Uncorrected formation energy: -54.7 kJ/mol of atoms
- Energy above the lowest structure with this stoichiometry: 160 meV per atom
- Total DFT energy (no corrections): -15.57 eV per formula unit

Structure (CIF):
```
data_La2MgCl
_chemical_formula_sum 'La2 Mg1 Cl1'
_cell_length_a 3.636
_cell_length_b 3.636
_cell_length_c 10.381
_cell_angle_alpha 90.00
_cell_angle_beta 90.00
_cell_angle_gamma 90.00
_space_group_name_H-M_alt 'P 4 m m'
_space_group_IT_number 99
_space_group_name_Hall 'P 4 -2'
loop_
_atom_site_label
_atom_site_type_symbol
_atom_site_fract_x
_atom_site_fract_y
_atom_site_fract_z
La1 La 0.000 0.000 0.000
La2 La 0.500 0.500 0.288
Mg1 Mg 0.000 0.000 0.508
Cl1 Cl 0.500 0.500 0.846
```

***

La2MgCl: relaxed, GGA-PBE.

Computed properties:
- N(E_F): 7.56 states/eV/cell
- Uncorrected formation energy: -37.3 kJ/mol of atoms
- Energy above the lowest structure with this stoichiometry: 340 meV per atom
- Total DFT energy (no corrections): -14.84 eV per formula unit

Structure (CIF):
```
data_La2MgCl
_chemical_formula_sum 'La4 Mg2 Cl2'
_cell_length_a 4.422
_cell_length_b 4.422
_cell_length_c 12.637
_cell_angle_alpha 90.00
_cell_angle_beta 90.00
_cell_angle_gamma 90.00
_space_group_name_H-M_alt 'I -4 m 2'
_space_group_IT_number 119
_space_group_name_Hall 'I -4 -2'
loop_
_atom_site_label
_atom_site_type_symbol
_atom_site_fract_x
_atom_site_fract_y
_atom_site_fract_z
La1 La 0.000 0.000 0.000
La2 La 0.000 0.500 0.250
Mg1 Mg 0.000 0.500 0.750
Cl1 Cl 0.000 0.000 0.500
```